# 1
# NdAgPd | OQMD | PBE-GGA | optimized geometry
# Uncorrected energy in eV per atom: -4.86
# Theoretical density in Mg/m³: 9.0
# Energy relative to the lowest polymorph listed for this composition in meV per atom: 0
# Formation enthalpy at 0 K in meV per atom: -604.8
data_NdAgPd
_chemical_formula_sum 'Nd4 Ag4 Pd4'
_cell_length_a 7.3453
_cell_length_b 4.1246
_cell_length_c 8.7434
_cell_angle_alpha 90.00
_cell_angle_beta 90.00
_cell_angle_gamma 90.00
_space_group_name_H-M_alt 'P n m a'
_space_group_IT_number 62
loop_
_space_group_symop_operation_xyz
'x,y,z'
'-x,-y,-z'
'-x+1/2,-y,z+1/2'
'x+1/2,y,-z+1/2'
'x+1/2,-y+1/2,-z+1/2'
'-x+1/2,y+1/2,z+1/2'
'-x,y+1/2,-z'
'x,-y+1/2,z'
loop_
_atom_site_label
_atom_site_type_symbol
_atom_site_fract_x
_atom_site_fract_y
_atom_site_fract_z
Nd1 Nd 0.0587 0.2500 0.1898
Ag1 Ag 0.1248 0.2500 0.5630
Pd1 Pd 0.2322 0.2500 0.8760

---

# 2
# Nd2AgPd5 | OQMD | PBE-GGA | optimized geometry
# Uncorrected energy in eV per atom: -5.50
# Theoretical density in Mg/m³: 10.3
# Formation enthalpy at 0 K in meV per atom: -716.8
data_Nd2AgPd5
_chemical_formula_sum 'Nd4 Ag2 Pd10'
_cell_length_a 6.0482
_cell_length_b 6.0482
_cell_length_c 8.1828
_cell_angle_alpha 90.00
_cell_angle_beta 90.00
_cell_angle_gamma 90.00
_space_group_name_H-M_alt 'I 4/m m m'
_space_group_IT_number 139
_space_group_name_Hall '-I 4 2'
loop_
_atom_site_label
_atom_site_type_symbol
_atom_site_fract_x
_atom_site_fract_y
_atom_site_fract_z
Nd1 Nd 0.0000 0.5000 0.0000
Ag1 Ag 0.0000 0.0000 0.0000
Pd1 Pd 0.0000 0.0000 0.5000
Pd2 Pd 0.2500 0.2500 0.2500